1.
Computed, not measured: YCrIr3 at its PBEsol-relaxed geometry at the SCAN level of DFT.

a = 4.829 Å, b = 4.829 Å, c = 4.829 Å
α = 90.00°, β = 90.00°, γ = 90.00°
Space group Pm-3m (No. 221)
Inequivalent atoms, fractional coordinates:
Y (0.000, 0.000, 0.000) x1
Cr (0.500, 0.500, 0.500) x1
Ir (0.000, 0.000, 0.500) x3

Computed properties:
Calculated formation energy in eV/atom: 2.1507

***

2.
Computed, not measured: BeNbIr2Os at its PBEsol-relaxed geometry at the SCAN level of DFT.

a = 4.025 Å, b = 4.025 Å, c = 4.286 Å
α = 90.00°, β = 90.00°, γ = 90.00°
Space group P4/mmm (No. 123)
Inequivalent atoms, fractional coordinates:
Be (0.000, 0.000, 0.000) x1
Nb (0.000, 0.000, 0.500) x1
Ir (0.000, 0.500, 0.000) x2
Os (0.500, 0.500, 0.500) x1

Computed properties:
Calculated formation energy in eV/atom: 0.2283

***

3.
Computed, not measured: YSb2Cl at its PBEsol-relaxed geometry at the SCAN level of DFT.

a = 3.4793 Å, b = 3.4793 Å, c = 28.8403 Å
α = 90.00°, β = 90.00°, γ = 120.00°
Space group R-3m (No. 166, hexagonal axes)
Inequivalent atoms, fractional coordinates:
Y (0.0000, 0.0000, 0.0000) x3
Sb (0.0000, 0.0000, 0.2478) x6
Cl (0.0000, 0.0000, 0.5000) x3

Computed properties:
Uncorrected formation energy in meV per atom: -298

***

4.
Computed, not measured: LiTl at its PBEsol-relaxed geometry at the SCAN level of DFT.

a = 11.619 Å, b = 11.662 Å, c = 7.591 Å
α = 90.00°, β = 90.00°, γ = 90.00°
Space group Cmce (No. 64)
Inequivalent atoms, fractional coordinates:
Li (0.000, 0.193, 0.092) x8
Li (0.157, 0.000, 0.000) x8
Li (0.250, 0.170, 0.750) x8
Tl (0.000, 0.087, 0.754) x8
Tl (0.144, 0.128, 0.397) x16

Computed properties:
Calculated formation energy in eV/atom: -0.2289

***

| no. | final energy (eV/atom) |
| --- | --- |
| 1 | -49.75 |
| 2 | -50.08 |
| 3 | -27.88 |
| 4 | -37.60 |